DFT (PBE) results for crystalline Fe2AuI8 at its relaxed geometry.

- uncorrected energy (eV per cell) = -33.60
- N(E_F) (states/eV/cell) = 2.0
- magnetization (μB/f.u.) = 9.0
- V (Å³/atom) = 44.41

abc: 7.0376 8.8026 8.8026
angles: 64.66 83.61 83.61
Fractional coordinates of all 11 atoms:
I  0.7533  0.6887  0.1178
I  0.2467  0.8822  0.3113
I  0.3088  0.3398  0.3398
I  0.2467  0.3113  0.8822
I  0.6912  0.6602  0.6602
I  0.2435  0.8423  0.8423
I  0.7565  0.1577  0.1577
I  0.7533  0.1178  0.6887
Fe  0.6190  0.8293  0.8293
Fe  0.3810  0.1707  0.1707
Au  0.0000  0.0000  0.0000